No. 1
This record from the Alexandria database describes a relaxed Li2Be2VO6 crystal. The functional is GGA+U.

Output
crystal system	trigonal
calculated density	3.2	g cm⁻³
energy	-6.2649	eV per atom
space group	No. 147
DOS at the Fermi energy	7.7	states/eV/cell

Cell lengths 4.6894, 4.6894, 4.8745 Å; angles 90.00, 90.00, 120.00 degrees
With the nearest neighbours (Å) after each atom.
Positions (direct):
Be1 0.3333 0.6667 0.9988  6 O 1.83-1.84
Be2 0.6667 0.3333 0.0012  6 O 1.83-1.84
O1 0.0003 0.6574 0.7946  2 Be 1.83-1.84, 1 V 1.89
O2 0.9997 0.3426 0.2054  2 Be 1.83-1.84, 1 V 1.89
O3 0.3430 0.0003 0.2054  2 Be 1.83-1.84, 1 V 1.89
O4 0.6574 0.6570 0.2054  2 Be 1.83-1.84, 1 V 1.89
O5 0.3426 0.3430 0.7946  2 Be 1.83-1.84, 1 V 1.89
O6 0.6570 0.9997 0.7946  2 Be 1.83-1.84, 1 V 1.89
V1 0.0000 0.0000 0.0000  6 O 1.89
Li1 0.3333 0.6667 0.4992  6 O 2.10-2.11
Li2 0.6667 0.3333 0.5008  6 O 2.10-2.11

=====

No. 2
This record from the Alexandria database describes a relaxed LiBeV2O6 crystal. The functional is GGA+U.

Output
crystal system	monoclinic
calculated density	2.5	g cm⁻³
energy	-7.1133	eV per atom
space group	No. 15
DOS at the Fermi energy	0.7	states/eV/cell

Cell lengths 5.3017, 7.9092, 7.9092 Å; angles 93.59, 70.47, 70.47 degrees
With the nearest neighbours (Å) after each atom.
Positions (direct):
V1 0.7417 0.1571 0.3446  4 O 1.74-1.81
V2 0.2583 0.8429 0.6554  4 O 1.74-1.81
V3 0.2417 0.3446 0.1571  4 O 1.74-1.81
V4 0.7583 0.6554 0.8429  4 O 1.74-1.81
O1 0.4417 0.7092 0.7872  2 V 1.80-1.81
O2 0.0421 0.5784 0.2311  1 Be 1.64, 1 V 1.74
O3 0.9417 0.7872 0.7092  2 V 1.80-1.81
O4 0.6480 0.7333 0.0763  1 Be 1.64, 1 V 1.74
O5 0.0583 0.2128 0.2908  2 V 1.80-1.81
O6 0.4579 0.7689 0.4216  1 Be 1.64, 1 V 1.74
O7 0.1480 0.0763 0.7333  1 Be 1.64, 1 V 1.74
O8 0.5583 0.2908 0.2128  2 V 1.80-1.81
O9 0.5421 0.2311 0.5784  1 Be 1.64, 1 V 1.74
O10 0.8520 0.9237 0.2667  1 Be 1.64, 1 V 1.74
O11 0.9579 0.4216 0.7689  1 Be 1.64, 1 V 1.74
O12 0.3520 0.2667 0.9237  1 Be 1.64, 1 V 1.74
Be1 0.2500 0.2489 0.7511  4 O 1.64
Be2 0.7500 0.7511 0.2489  4 O 1.64
Li1 0.2500 0.7511 0.2489  4 O 2.05
Li2 0.7500 0.2489 0.7511  4 O 2.05

=====

No. 3
This record from the Alexandria database describes a relaxed Li2BeVO4 crystal. The functional is GGA+U.

Output
crystal system	tetragonal
calculated density	2.9	g cm⁻³
energy	-6.5553	eV per atom
space group	No. 82
DOS at the Fermi energy	0.0	states/eV/cell

Cell lengths 5.1770, 5.1770, 5.1770 Å; angles 73.96, 129.65, 129.65 degrees
With the nearest neighbours (Å) after each atom.
Positions (direct):
Li1 0.0000 0.0000 0.0000  4 O 2.01
Li2 0.5000 0.7500 0.2500  4 O 2.01
O1 0.5370 0.3702 0.4343  1 Be 1.67, 1 V 1.83
O2 0.4630 0.8973 0.8331  1 Be 1.67, 1 V 1.83
O3 0.9359 0.5657 0.1027  1 Be 1.67, 1 V 1.83
O4 0.0641 0.1669 0.6298  1 Be 1.67, 1 V 1.83
Be1 0.5000 0.2500 0.7500  4 O 1.67
V1 0.0000 0.5000 0.5000  4 O 1.83

=====

No. 4
This record from the Alexandria database describes a relaxed LiBeV2O crystal. The functional is GGA+U.

Output
crystal system	tetragonal
calculated density	3.0	g cm⁻³
energy	-3.6482	eV per atom
space group	No. 123
DOS at the Fermi energy	3.6	states/eV/cell

Cell lengths 4.4555, 3.7718, 4.4555 Å; angles 90.00, 90.00, 90.00 degrees
With the nearest neighbours (Å) after each atom.
Positions (direct):
V1 0.5000 0.0000 0.0000  2 Li 2.23
V2 0.0000 0.0000 0.5000  2 Li 2.23
Be1 0.0000 0.5000 0.0000  2 Li 1.89
O1 0.5000 0.5000 0.5000  8 V 2.92, 4 Be 3.15
Li1 0.0000 0.0000 0.0000  2 Be 1.89